No. 1
Density functional theory data (PBE) for an optimized crystal structure of KAgF3.

Lattice parameters (Å, degrees): 4.6308 4.6308 9.4952 75.89 75.89 90.00
Positions (direct):
1 F 0.1584 0.9006 0.1987
2 Ag 0.0000 0.0000 0.0000
3 K 0.8488 0.3488 0.3023
4 F 0.0994 0.3571 0.8013
5 K 0.6512 0.1512 0.6977
6 Ag 0.2500 0.7500 0.5000
7 F 0.7394 0.7394 0.5213
8 F 0.2606 0.2606 0.4787
9 F 0.6429 0.9006 0.1987
10 F 0.0994 0.8416 0.8013

Calculated values
Formation energy (no corrections) in eV/atom: -1.56

=====

No. 2
Density functional theory data (PBE) for an optimized crystal structure of CsKRb2Bi.

Lattice parameters (Å, degrees): 7.3343 7.3343 7.5832 90.00 90.00 90.00
Positions (direct):
1 Rb 0.5000 0.0000 0.0000
2 Rb 0.0000 0.5000 0.0000
3 Bi 0.0000 0.0000 0.0000
4 K 0.5000 0.5000 0.5000
5 Cs 0.0000 0.0000 0.5000

Calculated values
Formation energy in eV per atom: -0.1049
ΔE to the lowest computed polymorph in eV per formula unit: 0.28

=====

No. 3
Density functional theory data (PBE) for an optimized crystal structure of Tl3CoMo.

Lattice parameters (Å, degrees): 5.3779 5.3779 5.3779 90.00 90.00 90.00
Positions (direct):
1 Co 0.5000 0.5000 0.5000
2 Tl 0.0000 0.5000 0.0000
3 Mo 0.0000 0.0000 0.0000
4 Tl 0.0000 0.0000 0.5000
5 Tl 0.5000 0.0000 0.0000

Calculated values
Formation energy in eV per atom: 1.3109
ΔE to the lowest computed polymorph in eV per formula unit: 1.46

=====

No. 4
Density functional theory data (PBE) for an optimized crystal structure of PrBeP.

Lattice parameters (Å, degrees): 4.3503 3.7694 3.7694 120.00 90.00 90.00
Positions (direct):
1 Be 0.1669 0.6667 0.3333
2 P 0.1665 0.0000 0.0000
3 Pr 0.6666 0.3333 0.6667

Calculated values
Formation energy in eV per atom: -0.9709
ΔE to the lowest computed polymorph in eV per formula unit: 0.00

=====

No. 5
Density functional theory data (PBE) for an optimized crystal structure of TiNb2Pd.

Lattice parameters (Å, degrees): 3.7875 3.7875 10.5045 79.61 79.61 90.00
Positions (direct):
1 Pd 0.7500 0.2500 0.5000
2 Nb 0.3750 0.3799 0.7500
3 Nb 0.6201 0.1250 0.2500
4 Pd 0.0000 0.0000 0.0000
5 Ti 0.2500 0.7500 0.5000
6 Nb 0.1299 0.6250 0.2500
7 Ti 0.5000 0.5000 0.0000
8 Nb 0.8750 0.8701 0.7500

Calculated values
Formation energy in eV per atom: 0.2305
ΔE to the lowest computed polymorph in eV per formula unit: 1.85

=====

No. 6
Density functional theory data (PBE) for an optimized crystal structure of TmU3Tl4Se8.

Lattice parameters (Å, degrees): 8.3253 9.2210 8.3259 116.85 120.00 90.00
Positions (direct):
1 Tm 0.0000 0.5000 0.0000
2 Se 0.7356 0.7067 0.4712
3 U 0.0000 0.5000 0.5000
4 Se 0.2322 0.7042 0.4643
5 Se 0.2601 0.2959 0.0279
6 Se 0.2322 0.7041 0.9721
7 Se 0.7399 0.7041 0.9721
8 Tl 0.0000 0.0000 0.5000
9 U 0.5000 0.5000 0.0000
10 Tl 0.0000 0.0000 0.0000
11 U 0.5000 0.5000 0.5000
12 Se 0.7678 0.2958 0.5357
13 Se 0.2644 0.2933 0.5288
14 Tl 0.5000 0.0000 0.0000
15 Tl 0.5000 0.0000 0.5000
16 Se 0.7678 0.2959 0.0279

Calculated values
Formation energy (no corrections) in eV/atom: -0.99

=====

No. 7
Density functional theory data (PBE) for an optimized crystal structure of Ba2Sc2O5.

Lattice parameters (Å, degrees): 5.9744 6.1299 9.2983 109.25 108.74 90.00
Positions (direct):
1 O 0.7630 0.7540 0.5148
2 Ba 0.3971 0.8750 0.2809
3 O 0.2481 0.2392 0.4852
4 Ba 0.6162 0.1246 0.7191
5 O 0.2629 0.7604 0.5148
6 O 0.6070 0.0946 0.0000
7 O 0.1070 0.9053 0.0000
8 O 0.6303 0.5895 0.7759
9 O 0.1304 0.1860 0.7758
10 O 0.7482 0.2456 0.4852
11 Sc 0.7854 0.8191 0.0000
12 Ba 0.8971 0.4055 0.2809
13 O 0.8544 0.8136 0.2241
14 Sc 0.0039 0.9998 0.5000
15 Sc 0.2854 0.1807 0.0000
16 Sc 0.5038 0.4998 0.5000
17 O 0.3546 0.4102 0.2242
18 Ba 0.1163 0.5942 0.7191

Calculated values
Formation energy (no corrections) in eV/atom: -3.11

=====

No. 8
Density functional theory data (PBE) for an optimized crystal structure of ZnHRh2.

Lattice parameters (Å, degrees): 2.7581 4.4719 4.4719 60.89 74.31 74.31
Positions (direct):
1 Zn 0.7501 0.7500 0.7499
2 Rh 0.9584 0.0596 0.0596
3 Rh 0.5420 0.4404 0.4403
4 H 0.2495 0.2500 0.2502

Calculated values
ΔE to the lowest computed polymorph in eV per formula unit: 0.36

=====

No. 9
Density functional theory data (PBE) for an optimized crystal structure of Tc2HPd.

Lattice parameters (Å, degrees): 4.2006 4.2006 4.2006 60.00 60.00 60.00
Positions (direct):
1 H 0.0000 0.0000 0.0000
2 Tc 0.7500 0.7500 0.7500
3 Tc 0.2500 0.2500 0.2500
4 Pd 0.5000 0.5000 0.5000

Calculated values
ΔE to the lowest computed polymorph in eV per formula unit: 2.53

=====

No. 10
Density functional theory data (PBE) for an optimized crystal structure of NaIr3F.

Lattice parameters (Å, degrees): 4.6679 4.6679 4.6679 90.00 90.00 90.00
Positions (direct):
1 Ir 0.5000 0.0000 0.0000
2 Ir 0.0000 0.0000 0.5000
3 Na 0.0000 0.0000 0.0000
4 Ir 0.0000 0.5000 0.0000
5 F 0.5000 0.5000 0.5000

Calculated values
ΔE to the lowest computed polymorph in eV per formula unit: 6.58
Formation energy (no corrections) in eV/atom: 2.62

=====

No. 11
Density functional theory data (PBE) for an optimized crystal structure of TiCrSn3.

Lattice parameters (Å, degrees): 5.0332 5.0332 5.0332 90.00 90.00 90.00
Positions (direct):
1 Cr 0.0000 0.0000 0.0000
2 Ti 0.5000 0.5000 0.5000
3 Sn 0.0000 0.0000 0.5000
4 Sn 0.0000 0.5000 0.0000
5 Sn 0.5000 0.0000 0.0000

Calculated values
Formation energy in eV per atom: 0.6225
ΔE to the lowest computed polymorph in eV per formula unit: 0.13

=====

No. 12
Density functional theory data (PBE) for an optimized crystal structure of AcGdTlIn.

Lattice parameters (Å, degrees): 5.6311 5.6311 5.6311 60.00 60.00 60.00
Positions (direct):
1 Tl 0.0000 0.0000 0.0000
2 Ac 0.7500 0.7500 0.7500
3 In 0.5000 0.5000 0.5000
4 Gd 0.2500 0.2500 0.2500

Calculated values
Formation energy in eV per atom: -0.3807

=====

Values of E, in order: -3.477, -1.658, -3.696, -5.609, -8.076, -5.719, -7.701, -4.888, -6.400, -3.331, -5.283, -6.204, all in eV/atom.